The following is a DFT calculation (PBE) of an optimized crystal structure of CaTl2Re.

Geometry as POSCAR:
```
CaTl2Re
1.0
-4.3707 0.6808 3.7093
-2.9214 -1.8617 4.6179
2.7331 2.8516 3.6198
Re Tl Ca
1 2 1
Cartesian
-1.1273 0.4241 2.9848
-7.1911 -1.1445 8.2681
-3.4416 1.2428 8.9672
-2.3707 0.8028 6.0279
```

Summary:
electronic total energy	-16.39	eV per cell
DOS(E_F)	0.5632	states/eV/atom
total magnetization	0.0	μB/cell